Material: Sr2CrPb
Method: DFT, PBE-GGA
State: relaxed

a = 8.9997 Å, b = 8.9997 Å, c = 7.3020 Å
α = 51.96°, β = 51.96°, γ = 90.00°
Site moments in Bohr magnetons follow the coordinates.
Atoms (fractional coordinates):
1 Cr 0.2500 0.7500 0.5000  4.08
2 Sr 0.6182 0.1250 0.2500  0.01
3 Pb 0.0000 0.0000 0.0000  -0.06
4 Sr 0.1318 0.6250 0.2500  0.02
5 Sr 0.3750 0.3818 0.7500  0.01
6 Pb 0.7500 0.2500 0.5000  -0.06
7 Cr 0.5000 0.5000 0.0000  4.08
8 Sr 0.8750 0.8682 0.7500  0.01

Output
calculated volume	290.0	Å³/cell
total magnetization	4.68	μB per formula unit
total energy	-30.07	eV/cell
SG	I-42d
DOS(E_F)	0.89	states/eV per atom